KMnCr | PBEsol | optimized geometry

Structure (POSCAR):
```
KMnCr
1.0
3.218 0.000 0.000
0.000 3.218 0.000
-1.609 -1.609 6.301
Cr Mn K
1 1 1
Direct
0.937 0.937 0.875
0.395 0.395 0.791
0.667 0.667 0.335
```

## Properties
energy of formation from the pure elements	0.942	eV/atom
magnetic moment	0.1	Bohr magnetons per cell
excess energy over the best structure of this formula in the dataset	0.0	meV/atom